No. 1
## Ta2CdRh (PBE)

Data for Ta2CdRh after structural relaxation.

Uncorrected energy in eV per atom: -7.951
Theoretical density in g/cm3: 13.8
Formation energy from the elements in eV per formula unit: 0.17

a = 5.168 Å, b = 5.168 Å, c = 5.168 Å
α = 134.45°, β = 134.45°, γ = 66.38°
Fractional positions:
Ta: 0.250 0.750 0.500
Ta: 0.750 0.250 0.500
Cd: 0.000 0.000 0.000
Rh: 0.500 0.500 0.000

No. 2
## TaAs2Pb2 (PBE)

Data for TaAs2Pb2 after structural relaxation.

Relative energy among the computed polymorphs in eV/atom: 0.802
Uncorrected energy in eV per atom: -4.728
Theoretical density in g/cm3: 9.2
Formation energy from the elements in eV per formula unit: 4.93

a = 5.828 Å, b = 5.828 Å, c = 5.828 Å
α = 122.38°, β = 122.38°, γ = 85.93°
Fractional positions:
Ta: 0.000 0.000 0.000
As: 0.250 0.750 0.500
As: 0.750 0.250 0.500
Pb: 0.332 0.332 0.000
Pb: 0.668 0.668 0.000

No. 3
## HfAgTeAs2 (PBE)

Data for HfAgTeAs2 after structural relaxation.

Formation energy (no corrections) in eV/atom: 1.111
Uncorrected energy in eV per atom: -3.938
Theoretical density in g/cm3: 6.2

a = 5.340 Å, b = 5.340 Å, c = 5.298 Å
α = 90.00°, β = 90.00°, γ = 90.00°
Fractional positions:
Hf: 0.000 0.000 0.000
Ag: 0.500 0.500 0.000
Te: 0.000 0.000 0.500
As: 0.000 0.500 0.500
As: 0.500 0.000 0.500

> Which value of uncorrected energy does entry 3 give?

-3.938 eV per atom

> What is the formula in the first record?

Ta2CdRh